# 1
VASP calculation (PBEsol) on a relaxed structure of CuPt.

Cell: 2.6995 4.5250 5.0586 Å, 115.45 105.48 90.00°
Closest atoms and distances in Å follow each position.
Fractional positions:
Cu1 0.3751 0.2089 0.7502  7 Pt 2.62-2.67, 5 Cu 2.67-2.70
Cu2 0.6249 0.7911 0.2498  7 Pt 2.62-2.67, 5 Cu 2.67-2.70
Pt1 0.1253 0.2899 0.2507  7 Cu 2.62-2.67, 5 Pt 2.67-2.70
Pt2 0.8747 0.7101 0.7493  7 Cu 2.62-2.67, 5 Pt 2.67-2.70

Computed properties:
space group: C2/m, No. 12
DFT formation energy: -0.110 eV per atom
E_tot: -5.759 eV/atom
calculated volume: 26.7 Å³/f.u.


# 2
VASP calculation (PBEsol) on a relaxed structure of SrCl.

Cell: 5.7206 5.7206 5.7206 Å, 60.00 60.00 60.00°
Closest atoms and distances in Å follow each position.
Fractional positions:
Sr1 0.0000 0.0000 0.0000  4 Sr 3.50, 4 Cl 3.50
Sr2 0.2500 0.2500 0.2500  4 Cl 3.50, 4 Sr 3.50
Cl1 0.7500 0.7500 0.7500  4 Sr 3.50, 4 Cl 3.50
Cl2 0.5000 0.5000 0.5000  4 Cl 3.50, 4 Sr 3.50

Computed properties:
formation energy without anion corrections: -0.806 eV per atom
space group: Fd-3m, No. 227
E_tot: -2.730 eV/atom
calculated volume: 66.2 Å³/f.u.


# 3
VASP calculation (PBEsol) on a relaxed structure of HgSeBr.

Cell: 4.1001 4.1001 5.1822 Å, 90.00 90.00 120.00°
Closest atoms and distances in Å follow each position.
Fractional positions:
Se1 0.6667 0.3333 0.3921  3 Hg 2.68
Hg1 0.3333 0.6667 0.6326  3 Se 2.68, 3 Br 2.96
Br1 0.0000 0.0000 0.9753  3 Hg 2.96, 3 Se 3.20

Computed properties:
formation energy without anion corrections: -0.016 eV per atom
space group: P3m1, No. 156
E_tot: -2.112 eV/atom
excess energy over the best structure of this formula in the dataset: 0.000 eV per atom
calculated volume: 75.4 Å³/f.u.


Question: What is the formula in the third record?
Answer: HgSeBr